(1)
# Sr2ScOsSe6 PBE optimized geometry
data_Sr2ScOsSe6
_symmetry_space_group_name_H-M 'P -1'
_symmetry_Int_Tables_number 2
_symmetry_space_group_name_Hall '-P 1'
_cell_length_a 6.6862
_cell_length_b 6.7444
_cell_length_c 7.2173
_cell_angle_alpha 117.62
_cell_angle_beta 117.07
_cell_angle_gamma 90.16
loop_
_atom_site_label
_atom_site_fract_x
_atom_site_fract_y
_atom_site_fract_z
Sr1 0.2491 0.2529 0.4991
Sc1 0.5000 0.0000 0.0000
Os1 0.0000 0.5000 0.0000
Se1 0.1500 0.1614 0.9930
Se2 0.2358 0.7298 0.4735
Se3 0.3405 0.6553 0.0047
# Relative energy among the computed polymorphs   0 meV per atom
# Energy   -0.1926 Ha/atom



(2)
# Sm3Sc3Te2Os PBE optimized geometry
data_Sm3Sc3Te2Os
_symmetry_space_group_name_H-M 'P -6 2 m'
_symmetry_Int_Tables_number 189
_symmetry_space_group_name_Hall 'P -6 -2'
_cell_length_a 8.2459
_cell_length_b 8.2459
_cell_length_c 3.8912
_cell_angle_alpha 90.00
_cell_angle_beta 90.00
_cell_angle_gamma 120.00
loop_
_atom_site_label
_atom_site_fract_x
_atom_site_fract_y
_atom_site_fract_z
Sm1 0.0000 0.2499 0.0000
Sc1 0.0000 0.6100 0.5000
Te1 0.3333 0.6667 0.0000
Os1 0.0000 0.0000 0.5000
# Energy   -0.2268 Ha/atom



(3)
# ScSnOs PBE optimized geometry
data_ScSnOs
_symmetry_space_group_name_H-M 'F -4 3 m'
_symmetry_Int_Tables_number 216
_symmetry_space_group_name_Hall 'F -4 2 3'
_cell_length_a 6.3891
_cell_length_b 6.3891
_cell_length_c 6.3891
_cell_angle_alpha 90.00
_cell_angle_beta 90.00
_cell_angle_gamma 90.00
loop_
_atom_site_label
_atom_site_fract_x
_atom_site_fract_y
_atom_site_fract_z
Sc1 0.0000 0.0000 0.0000
Sn1 0.2500 0.2500 0.2500
Os1 0.2500 0.2500 0.7500
# Energy   -0.2482 Ha/atom



(4)
# ScSnOs PBE optimized geometry
data_ScSnOs
_symmetry_space_group_name_H-M 'F -4 3 m'
_symmetry_Int_Tables_number 216
_symmetry_space_group_name_Hall 'F -4 2 3'
_cell_length_a 6.3689
_cell_length_b 6.3689
_cell_length_c 6.3689
_cell_angle_alpha 90.00
_cell_angle_beta 90.00
_cell_angle_gamma 90.00
loop_
_atom_site_label
_atom_site_fract_x
_atom_site_fract_y
_atom_site_fract_z
Sc1 0.0000 0.0000 0.0000
Sn1 0.0000 0.0000 0.5000
Os1 0.2500 0.2500 0.2500
# Energy   -0.2707 Ha/atom